HfThNi2P2 PBE optimized geometry; DFT formation energy = -1119 meV per atom; calculated volume = 98.6 Å³ per cell; space-group type = No. 164; Fermi-level density of states = 0.953 states/eV per atom
1.0
3.854 0.000 0.000
-1.927 3.338 0.000
0.000 0.000 7.663
Hf Th Ni P
1 1 2 2
Direct
0.000 0.000 0.000
0.000 0.000 0.500
0.333 0.667 0.221
0.667 0.333 0.779
0.333 0.667 0.769
0.667 0.333 0.231

***

Hf2UNiP4 PBE optimized geometry; DFT formation energy = -1028 meV per atom; calculated volume = 286.8 Å³ per cell; space-group type = No. 63; Fermi-level density of states = 0.684 states/eV per atom
1.0
1.847 -6.108 0.000
1.847 6.108 0.000
0.000 0.000 12.707
Hf U Ni P
4 2 2 8
Direct
0.134 0.866 0.562
0.134 0.866 0.938
0.866 0.134 0.062
0.866 0.134 0.438
0.385 0.615 0.750
0.615 0.385 0.250
0.349 0.651 0.250
0.651 0.349 0.750
0.049 0.951 0.750
0.224 0.776 0.123
0.224 0.776 0.377
0.500 0.500 0.000
0.500 0.500 0.500
0.776 0.224 0.623
0.776 0.224 0.877
0.951 0.049 0.250

***

HfPa2Ni9 PBE optimized geometry; DFT formation energy = -327 meV per atom; calculated volume = 169.5 Å³ per cell; space-group type = No. 123; Fermi-level density of states = 1.134 states/eV per atom; relative energy among the computed polymorphs = 0.0726 eV per atom
1.0
3.886 0.000 0.000
0.000 3.886 0.000
0.000 0.000 11.221
Hf Pa Ni
1 2 9
Direct
0.000 0.000 0.000
0.000 0.000 0.326
0.000 0.000 0.674
0.000 0.500 0.161
0.000 0.500 0.500
0.000 0.500 0.839
0.500 0.000 0.161
0.500 0.000 0.500
0.500 0.000 0.839
0.500 0.500 0.000
0.500 0.500 0.333
0.500 0.500 0.667

***

HfPa2Ni9 PBE optimized geometry; DFT formation energy = -399 meV per atom; calculated volume = 166.7 Å³ per cell; space-group type = No. 166; Fermi-level density of states = 1.080 states/eV per atom; relative energy among the computed polymorphs = 0.0000 eV per atom
1.0
2.422 1.398 8.207
-2.422 1.398 8.207
0.000 -2.796 8.207
Hf Pa Ni
1 2 9
Direct
0.000 0.000 0.000
0.138 0.138 0.138
0.862 0.862 0.862
0.082 0.582 0.582
0.333 0.333 0.333
0.418 0.418 0.918
0.418 0.918 0.418
0.500 0.500 0.500
0.582 0.082 0.582
0.582 0.582 0.082
0.667 0.667 0.667
0.918 0.418 0.418

***

HfPaNi2 PBE optimized geometry; DFT formation energy = -419 meV per atom; calculated volume = 139.0 Å³ per cell; space-group type = No. 11; Fermi-level density of states = 0.888 states/eV per atom; relative energy among the computed polymorphs = 0.0000 eV per atom
1.0
5.326 0.000 0.000
0.000 4.243 0.000
-2.577 0.000 6.152
Hf Pa Ni
2 2 4
Direct
0.062 0.250 0.333
0.938 0.750 0.667
0.481 0.750 0.161
0.519 0.250 0.839
0.064 0.250 0.924
0.366 0.750 0.525
0.634 0.250 0.475
0.936 0.750 0.076

***

HfPaNi10 PBE optimized geometry; DFT formation energy = -338 meV per atom; calculated volume = 157.1 Å³ per cell; space-group type = No. 47; Fermi-level density of states = 1.424 states/eV per atom
1.0
3.980 0.000 0.000
0.000 4.776 0.000
0.000 0.000 8.266
Hf Pa Ni
1 1 10
Direct
0.000 0.000 0.000
0.000 0.500 0.500
0.000 0.000 0.330
0.000 0.000 0.670
0.000 0.500 0.164
0.000 0.500 0.836
0.500 0.000 0.500
0.500 0.247 0.245
0.500 0.247 0.755
0.500 0.500 0.000
0.500 0.753 0.245
0.500 0.753 0.755

***

HfPaNi2 PBE optimized geometry; DFT formation energy = -322 meV per atom; calculated volume = 69.0 Å³ per cell; space-group type = No. 123; Fermi-level density of states = 1.007 states/eV per atom; relative energy among the computed polymorphs = 0.0967 eV per atom
1.0
3.181 0.000 0.000
0.000 3.181 0.000
0.000 0.000 6.822
Hf Pa Ni
1 1 2
Direct
0.000 0.000 0.000
0.000 0.000 0.500
0.500 0.500 0.215
0.500 0.500 0.785

***

Hf4PaNi15 PBE optimized geometry; DFT formation energy = -452 meV per atom; calculated volume = 264.6 Å³ per cell; space-group type = No. 123; Fermi-level density of states = 0.488 states/eV per atom
1.0
3.772 0.000 0.000
0.000 3.772 0.000
0.000 0.000 18.604
Hf Pa Ni
4 1 15
Direct
0.000 0.000 0.098
0.000 0.000 0.295
0.000 0.000 0.705
0.000 0.000 0.902
0.000 0.000 0.500
0.000 0.500 0.000
0.000 0.500 0.197
0.000 0.500 0.397
0.000 0.500 0.603
0.000 0.500 0.803
0.500 0.000 0.000
0.500 0.000 0.197
0.500 0.000 0.397
0.500 0.000 0.603
0.500 0.000 0.803
0.500 0.500 0.099
0.500 0.500 0.297
0.500 0.500 0.500
0.500 0.500 0.703
0.500 0.500 0.901

***

Question: The lowest Fermi-level density of states belongs to which entry?
Answer: Hf4PaNi15